Density functional theory data (PBE with a Hubbard U) for Sc2CoSbO6 after structural relaxation.

abc: 5.8249 5.8249 5.8249
angles: 54.20 54.20 54.20
Closest atoms and distances in Å follow each position.
Fractional positions:
Sc  0.0000  0.0000  0.0000  3 O 2.04
Sc  0.4723  0.4723  0.4723  6 O 2.12-2.15
Co  0.7958  0.7958  0.7958  6 O 1.96-1.98
Sb  0.2624  0.2624  0.2624  3 O 2.11
O  0.0528  0.7232  0.4085  1 Co 1.98, 2 Sc 2.04-2.12
O  0.1743  0.6038  0.8616  1 Co 1.96, 1 Sb 2.11, 1 Sc 2.15
O  0.4085  0.0528  0.7232  1 Co 1.98, 2 Sc 2.04-2.12
O  0.6038  0.8616  0.1743  1 Co 1.96, 1 Sb 2.11, 1 Sc 2.15
O  0.7232  0.4085  0.0528  1 Co 1.98, 2 Sc 2.04-2.12
O  0.8616  0.1743  0.6038  1 Co 1.96, 1 Sb 2.11, 1 Sc 2.15

Results
Symmetry   R3, No. 146
Total magnetization   0.0 μB per cell
Raw total energy   -7.334 eV per atom